Record 1
DFT (GGA+U) results for BaNiF3 after structural relaxation.

The value obtained for the size of the total moment is 1.20 μB/f.u. For the calculated total energy, the calculation gives -4.4452 eV per atom.

The space group is Pm-3m (No. 221) and the conventional cell measures 4.260, 4.260 and 4.260 Å, with angles of 90.00, 90.00 and 90.00 degrees. The distinct sites, in fractional coordinates, are Ba at (0.000, 0.000, 0.000), Ni at (0.500, 0.500, 0.500) and F at (0.000, 0.500, 0.500).



Record 2
DFT (GGA+U) results for Ba2NiF6 after structural relaxation.

The value obtained for the size of the total moment is 2.00 μB/f.u. For the calculated total energy, the calculation gives -5.2528 eV per atom.

The space group is I4/mmm (No. 139) and the conventional cell measures 4.128, 4.128 and 16.499 Å, with angles of 90.00, 90.00 and 90.00 degrees. The distinct sites, in fractional coordinates, are Ba at (0.000, 0.000, 0.151), Ni at (0.000, 0.000, 0.500), F at (0.000, 0.000, 0.381), F at (0.000, 0.500, 0.000) and F at (0.000, 0.500, 0.250).



Record 3
DFT (GGA+U) results for BaNiF6 after structural relaxation.

The value obtained for the size of the total moment is 0.00 μB/f.u. For the calculated total energy, the calculation gives -4.3572 eV per atom.

The space group is R-3m (No. 166, hexagonal axes) and the conventional cell measures 7.4366, 7.4366 and 7.0655 Å, with angles of 90.00, 90.00 and 120.00 degrees. The distinct sites, in fractional coordinates, are Ba at (0.0000, 0.0000, 0.0000), Ni at (0.0000, 0.0000, 0.5000) and F at (0.1090, 0.5545, 0.3190).



Record 4
DFT (GGA+U) results for BaNiF3 after structural relaxation.

The value obtained for the size of the total moment is 3.00 μB/f.u. For the calculated total energy, the calculation gives -3.8973 eV per atom.

The space group is Pm-3m (No. 221) and the conventional cell measures 5.069, 5.069 and 5.069 Å, with angles of 90.00, 90.00 and 90.00 degrees. The distinct sites, in fractional coordinates, are Ba at (0.000, 0.000, 0.000), Ni at (0.500, 0.500, 0.500) and F at (0.000, 0.000, 0.500).



Record 5
DFT (GGA+U) results for Ba2NiF6 after structural relaxation.

The value obtained for the size of the total moment is 1.99 μB/f.u. For the calculated total energy, the calculation gives -5.2524 eV per atom.

The space group is P-3m1 (No. 164) and the conventional cell measures 5.8336, 5.8336 and 4.5667 Å, with angles of 90.00, 90.00 and 120.00 degrees. The distinct sites, in fractional coordinates, are Ba at (0.3333, 0.6667, 0.2674), Ni at (0.0000, 0.0000, 0.0000) and F at (0.1714, 0.3428, 0.7680).



Record 6
DFT (GGA+U) results for BaNi2PbF after structural relaxation.

The value obtained for the size of the total moment is 1.89 μB/f.u. For the calculated total energy, the calculation gives -2.7670 eV per atom.

The space group is P4/mmm (No. 123) and the conventional cell measures 5.068, 5.068 and 5.040 Å, with angles of 90.00, 90.00 and 90.00 degrees. The distinct sites, in fractional coordinates, are Ba at (0.000, 0.000, 0.000), Ni at (0.000, 0.500, 0.500), Pb at (0.500, 0.500, 0.500) and F at (0.500, 0.500, 0.000).



Record 7
DFT (GGA+U) results for BaNiPbF6 after structural relaxation.

The value obtained for the size of the total moment is 2.04 μB/f.u. For the calculated total energy, the calculation gives -4.9452 eV per atom.

The space group is P1 (No. 1) and the conventional cell measures 4.717, 5.686 and 5.706 Å, with angles of 117.24, 90.14 and 90.38 degrees. The distinct sites, in fractional coordinates, are Ba at (0.000, 0.000, 0.000), Ni at (0.676, 0.338, 0.673), Pb at (0.516, 0.675, 0.343), F at (0.457, 0.673, 0.894), F at (0.463, 0.100, 0.782), F at (0.463, 0.225, 0.328), F at (0.901, 0.472, 0.018), F at (0.906, 0.003, 0.466) and F at (0.906, 0.557, 0.546).



Record 8
DFT (GGA+U) results for Ba2Ni3PbF12 after structural relaxation.

The value obtained for the size of the total moment is 6.01 μB/f.u. For the calculated total energy, the calculation gives -4.8303 eV per atom.

The space group is R-3m (No. 166, hexagonal axes) and the conventional cell measures 7.3624, 7.3624 and 17.1902 Å, with angles of 90.00, 90.00 and 120.00 degrees. The distinct sites, in fractional coordinates, are Ba at (0.0000, 0.0000, 0.1120), Ni at (0.0000, 0.5000, 0.0000), Pb at (0.0000, 0.0000, 0.5000), F at (0.0523, 0.5261, 0.8837) and F at (0.0590, 0.5295, 0.3070).



Repeat the first record exactly.
DFT (GGA+U) results for BaNiF3 after structural relaxation.

The value obtained for the size of the total moment is 1.20 μB/f.u. For the calculated total energy, the calculation gives -4.4452 eV per atom.

The space group is Pm-3m (No. 221) and the conventional cell measures 4.260, 4.260 and 4.260 Å, with angles of 90.00, 90.00 and 90.00 degrees. The distinct sites, in fractional coordinates, are Ba at (0.000, 0.000, 0.000), Ni at (0.500, 0.500, 0.500) and F at (0.000, 0.500, 0.500).



- Which of these has the highest size of the total moment?
  Ba2Ni3PbF12



- Which formula does entry 7 have?
  BaNiPbF6